[1]
A plane-wave DFT calculation with PBE was carried out for a relaxed structure of Nb3CrW4.

size of the total moment = 0.000 μB per atom
calculated total energy = -11.449 eV/atom
calculated formation energy = 6.9 meV/atom
ρ = 13.5 Mg/m³

CIF file:
```
data_Nb3CrW4
_chemical_formula_sum 'Nb3 Cr1 W4'
_symmetry_space_group_name_H-M 'P 1'
_symmetry_Int_Tables_number 1
_symmetry_space_group_name_Hall 'P 1'
_cell_length_a 3.194
_cell_length_b 3.194
_cell_length_c 12.813
_cell_angle_alpha 90.00
_cell_angle_beta 90.00
_cell_angle_gamma 90.00
loop_
_atom_site_label
_atom_site_type_symbol
_atom_site_fract_x
_atom_site_fract_y
_atom_site_fract_z
_atom_site_occupancy
Nb1 Nb 0.500 0.500 0.244 1
Nb2 Nb 0.500 0.500 0.500 1
Nb3 Nb 0.500 0.500 0.756 1
W1 W 0.000 0.000 0.114 1
W2 W 0.000 0.000 0.629 1
W3 W 0.000 0.000 0.886 1
W4 W 0.000 0.000 0.371 1
Cr1 Cr 0.500 0.500 0.000 1
```



[2]
A plane-wave DFT calculation with PBE was carried out for a relaxed structure of CrAgPd2.

size of the total moment = 0.774 μB per atom
calculated total energy = -5.647 eV/atom
calculated formation energy = 67.9 meV/atom
ρ = 9.9 Mg/m³
E above lowest polymorph = 53 meV/atom

CIF file:
```
data_CrAgPd2
_chemical_formula_sum 'Cr1 Ag1 Pd2'
_symmetry_space_group_name_H-M 'P 1'
_symmetry_Int_Tables_number 1
_symmetry_space_group_name_Hall 'P 1'
_cell_length_a 2.853
_cell_length_b 2.853
_cell_length_c 9.041
_cell_angle_alpha 80.92
_cell_angle_beta 80.92
_cell_angle_gamma 60.00
loop_
_atom_site_label
_atom_site_type_symbol
_atom_site_fract_x
_atom_site_fract_y
_atom_site_fract_z
_atom_site_occupancy
Pd1 Pd 0.243 0.243 0.271 1
Pd2 Pd 0.757 0.757 0.729 1
Cr1 Cr 0.500 0.500 0.500 1
Ag1 Ag 0.000 0.000 0.000 1
```



[3]
A plane-wave DFT calculation with PBE was carried out for a relaxed structure of Hg2PSe.

size of the total moment = 0.000 μB per atom
calculated total energy = -2.153 eV/atom
raw formation energy = 221.5 meV per atom
ρ = 8.6 Mg/m³

CIF file:
```
data_Hg2PSe
_chemical_formula_sum 'Hg2 P1 Se1'
_symmetry_space_group_name_H-M 'P 1'
_symmetry_Int_Tables_number 1
_symmetry_space_group_name_Hall 'P 1'
_cell_length_a 3.737
_cell_length_b 3.743
_cell_length_c 7.039
_cell_angle_alpha 90.00
_cell_angle_beta 90.00
_cell_angle_gamma 90.00
loop_
_atom_site_label
_atom_site_type_symbol
_atom_site_fract_x
_atom_site_fract_y
_atom_site_fract_z
_atom_site_occupancy
P1 P 0.000 0.000 0.325 1
Hg1 Hg 0.000 0.000 0.965 1
Hg2 Hg 0.500 0.500 0.404 1
Se1 Se 0.500 0.500 0.806 1
```